one | Computed, not measured: a relaxed Tb3Y3Mg crystal at the PBE level of DFT.

- Size of the total moment: 0.620 μB/f.u.

a = 6.187 Å, b = 6.187 Å, c = 14.356 Å
α = 77.56°, β = 77.56°, γ = 60.00°
Site moments in Bohr magnetons follow the coordinates.
Atoms (fractional coordinates):
Y (0.064, 0.727, 0.809)  0.04
Y (0.727, 0.400, 0.809)  0.04
Y (0.936, 0.273, 0.191)  0.04
Y (0.273, 0.600, 0.191)  0.04
Y (0.600, 0.936, 0.191)  0.04
Y (0.400, 0.064, 0.809)  0.04
Tb (0.535, 0.201, 0.395)  0.10
Tb (0.869, 0.535, 0.395)  0.10
Tb (0.799, 0.131, 0.605)  0.10
Tb (0.131, 0.465, 0.605)  0.10
Tb (0.201, 0.869, 0.395)  0.10
Tb (0.465, 0.799, 0.605)  0.10
Mg (0.333, 0.333, 0.000)  0.00
Mg (0.667, 0.667, 0.000)  0.00

---

two | Computed, not measured: a relaxed Tb3Y3Mg crystal at the PBE level of DFT.

- Size of the total moment: 0.540 μB/f.u.

a = 5.627 Å, b = 9.457 Å, c = 9.458 Å
α = 120.01°, β = 90.00°, γ = 90.00°
Site moments in Bohr magnetons follow the coordinates.
Atoms (fractional coordinates):
Tb (0.750, 0.759, 0.816)  0.01
Tb (0.750, 0.057, 0.241)  0.01
Tb (0.250, 0.241, 0.184)  0.01
Tb (0.250, 0.943, 0.759)  0.01
Tb (0.250, 0.816, 0.057)  0.01
Tb (0.750, 0.184, 0.943)  0.01
Y (0.250, 0.374, 0.897)  0.08
Y (0.750, 0.477, 0.374)  0.08
Y (0.750, 0.626, 0.103)  0.08
Y (0.750, 0.897, 0.524)  0.08
Y (0.250, 0.523, 0.626)  0.08
Y (0.250, 0.103, 0.476)  0.08
Mg (0.750, 0.333, 0.667)  0.00
Mg (0.250, 0.667, 0.333)  0.00

---

Stability summary: most stable two, least stable one.

---

one | Computed, not measured: a relaxed Tb2Y7Mg2 crystal at the PBE level of DFT.

- Size of the total moment: 0.000 μB/f.u.

a = 6.545 Å, b = 8.510 Å, c = 6.545 Å
α = 77.62°, β = 83.51°, γ = 102.38°
Atoms (fractional coordinates):
Y (0.522, 0.679, 0.118)
Y (0.882, 0.679, 0.478)
Y (0.145, 0.918, 0.855)
Y (0.478, 0.321, 0.882)
Y (0.855, 0.082, 0.145)
Y (0.118, 0.321, 0.522)
Y (0.000, 0.500, 0.000)
Tb (0.318, 0.000, 0.318)
Tb (0.682, 0.000, 0.682)
Mg (0.383, 0.667, 0.617)
Mg (0.617, 0.333, 0.383)

---

two | Computed, not measured: a relaxed Tb2Y7Mg2 crystal at the PBE level of DFT.

- Size of the total moment: 0.000 μB/f.u.

a = 5.716 Å, b = 8.103 Å, c = 8.103 Å
α = 88.28°, β = 74.67°, γ = 74.67°
Atoms (fractional coordinates):
Mg (0.782, 0.433, 0.433)
Mg (0.218, 0.567, 0.567)
Y (0.183, 0.020, 0.602)
Y (0.339, 0.225, 0.225)
Y (0.183, 0.602, 0.020)
Y (0.817, 0.980, 0.398)
Y (0.000, 0.000, 0.000)
Y (0.817, 0.398, 0.980)
Y (0.661, 0.775, 0.775)
Tb (0.500, 0.222, 0.778)
Tb (0.500, 0.778, 0.222)

---

Stability summary: most stable one, least stable two.